# Li7Co5O12, relaxed, DFT GGA+U
# * E: -5.54 eV per atom
# * crystal system: monoclinic
data_Li7Co5O12
_chemical_formula_sum 'Li14 Co10 O24'
_space_group_name_H-M_alt 'C 1 2/m 1'
_space_group_IT_number 12
_space_group_name_Hall '-C 2y'
_cell_length_a 14.747
_cell_length_b 2.855
_cell_length_c 9.605
_cell_angle_alpha 90.00
_cell_angle_beta 100.31
_cell_angle_gamma 90.00
loop_
_atom_site_label
_atom_site_type_symbol
_atom_site_fract_x
_atom_site_fract_y
_atom_site_fract_z
Li1 Li 0.000 0.000 0.000
Li2 Li 0.077 0.500 0.244
Li3 Li 0.082 0.000 0.752
Li4 Li 0.250 0.000 0.257
Co1 Co 0.000 0.500 0.500
Co2 Co 0.163 0.500 0.999
Co3 Co 0.167 0.000 0.499
O1 O 0.043 0.000 0.390
O2 O 0.054 0.500 0.883
O3 O 0.124 0.500 0.607
O4 O 0.132 0.000 0.112
O5 O 0.210 0.000 0.895
O6 O 0.210 0.500 0.391